# GGA-PBEsol GaH7N2F4, relaxed
# - Mass density: 2.7 Mg/m³
# - Calculated total energy: -4.990 eV/atom
data_GaH7N2F4
_chemical_formula_sum 'Ga2 H14 N4 F8'
_space_group_name_H-M_alt 'P 1'
_space_group_IT_number 1
_space_group_name_Hall 'P 1'
_cell_length_a 6.1461
_cell_length_b 6.1461
_cell_length_c 7.4748
_cell_angle_alpha 112.76
_cell_angle_beta 112.76
_cell_angle_gamma 63.94
loop_
_atom_site_label
_atom_site_fract_x
_atom_site_fract_y
_atom_site_fract_z
Ga1 0.0000 0.0000 0.0000
Ga2 0.0000 0.0000 0.5000
H1 0.1332 0.3877 0.1396
H2 0.1754 0.4292 0.6369
H3 0.2140 0.2140 0.9228
H4 0.3877 0.1332 0.1396
H5 0.4018 0.4018 0.5452
H6 0.4292 0.1754 0.6369
H7 0.4502 0.4502 0.7992
H8 0.5498 0.5498 0.2008
H9 0.5708 0.8246 0.3631
H10 0.5982 0.5982 0.4548
H11 0.6123 0.8668 0.8604
H12 0.7860 0.7860 0.0772
H13 0.8246 0.5708 0.3631
H14 0.8668 0.6123 0.8604
N1 0.2068 0.2068 0.0555
N2 0.3668 0.3668 0.6530
N3 0.6332 0.6332 0.3470
N4 0.7932 0.7932 0.9445
F1 0.0701 0.6566 0.3533
F2 0.0733 0.0733 0.3031
F3 0.2890 0.7110 0.0000
F4 0.3434 0.9299 0.6467
F5 0.6566 0.0701 0.3533
F6 0.7110 0.2890 0.0000
F7 0.9267 0.9267 0.6969
F8 0.9299 0.3434 0.6467

# GGA-PBEsol ErCdAu2, relaxed
# - Mass density: 14.2 Mg/m³
# - Formation enthalpy at 0 K: -0.685 eV/atom
data_ErCdAu2
_chemical_formula_sum 'Er4 Cd4 Au8'
_space_group_name_H-M_alt 'P 1'
_space_group_IT_number 1
_space_group_name_Hall 'P 1'
_cell_length_a 6.7971
_cell_length_b 6.7971
_cell_length_c 6.7971
_cell_angle_alpha 90.00
_cell_angle_beta 90.00
_cell_angle_gamma 90.00
loop_
_atom_site_label
_atom_site_fract_x
_atom_site_fract_y
_atom_site_fract_z
Er1 0.0000 0.0000 0.0000
Er2 0.0000 0.5000 0.5000
Er3 0.5000 0.0000 0.5000
Er4 0.5000 0.5000 0.0000
Cd1 0.0000 0.0000 0.5000
Cd2 0.0000 0.5000 0.0000
Cd3 0.5000 0.0000 0.0000
Cd4 0.5000 0.5000 0.5000
Au1 0.2500 0.2500 0.2500
Au2 0.2500 0.2500 0.7500
Au3 0.2500 0.7500 0.2500
Au4 0.2500 0.7500 0.7500
Au5 0.7500 0.2500 0.2500
Au6 0.7500 0.2500 0.7500
Au7 0.7500 0.7500 0.2500
Au8 0.7500 0.7500 0.7500

# GGA-PBEsol Tl2HgCl, relaxed
# - E above lowest polymorph: 0.68 eV per formula unit
# - Energy relative to the elements, uncorrected: -221 meV/atom
# - Mass density: 10.1 Mg/m³
data_Tl2HgCl
_chemical_formula_sum 'Tl8 Hg4 Cl4'
_space_group_name_H-M_alt 'P 1'
_space_group_IT_number 1
_space_group_name_Hall 'P 1'
_cell_length_a 7.5190
_cell_length_b 7.5190
_cell_length_c 7.5190
_cell_angle_alpha 90.00
_cell_angle_beta 90.00
_cell_angle_gamma 90.00
loop_
_atom_site_label
_atom_site_fract_x
_atom_site_fract_y
_atom_site_fract_z
Tl1 0.0000 0.0000 0.0000
Tl2 0.0000 0.5000 0.5000
Tl3 0.2500 0.2500 0.2500
Tl4 0.2500 0.7500 0.7500
Tl5 0.5000 0.0000 0.5000
Tl6 0.5000 0.5000 0.0000
Tl7 0.7500 0.2500 0.7500
Tl8 0.7500 0.7500 0.2500
Hg1 0.0000 0.0000 0.5000
Hg2 0.0000 0.5000 0.0000
Hg3 0.5000 0.0000 0.0000
Hg4 0.5000 0.5000 0.5000
Cl1 0.2500 0.2500 0.7500
Cl2 0.2500 0.7500 0.2500
Cl3 0.7500 0.2500 0.2500
Cl4 0.7500 0.7500 0.7500

# GGA-PBEsol NaNbNi2Cl, relaxed
# - Energy relative to the elements, uncorrected: 1451 meV/atom
# - Mass density: 5.3 Mg/m³
data_NaNbNi2Cl
_chemical_formula_sum 'Na1 Nb1 Ni2 Cl1'
_space_group_name_H-M_alt 'P 1'
_space_group_IT_number 1
_space_group_name_Hall 'P 1'
_cell_length_a 4.3556
_cell_length_b 4.3556
_cell_length_c 4.4469
_cell_angle_alpha 90.00
_cell_angle_beta 90.00
_cell_angle_gamma 90.00
loop_
_atom_site_label
_atom_site_fract_x
_atom_site_fract_y
_atom_site_fract_z
Na1 0.0000 0.0000 0.0000
Nb1 0.5000 0.5000 0.5000
Ni1 0.0000 0.5000 0.0000
Ni2 0.5000 0.0000 0.0000
Cl1 0.0000 0.0000 0.5000

# GGA-PBEsol BeSiSb2, relaxed
# - Energy relative to the elements, uncorrected: 534 meV/atom
# - Mass density: 5.9 Mg/m³
data_BeSiSb2
_chemical_formula_sum 'Be2 Si2 Sb4'
_space_group_name_H-M_alt 'P 1'
_space_group_IT_number 1
_space_group_name_Hall 'P 1'
_cell_length_a 3.8317
_cell_length_b 5.4042
_cell_length_c 7.6644
_cell_angle_alpha 90.00
_cell_angle_beta 90.00
_cell_angle_gamma 90.00
loop_
_atom_site_label
_atom_site_fract_x
_atom_site_fract_y
_atom_site_fract_z
Be1 0.0000 0.0000 0.0000
Be2 0.5000 0.5000 0.0000
Si1 0.0000 0.0000 0.5000
Si2 0.5000 0.5000 0.5000
Sb1 0.0000 0.5000 0.2251
Sb2 0.0000 0.5000 0.7749
Sb3 0.5000 0.0000 0.2251
Sb4 0.5000 0.0000 0.7749

# GGA-PBEsol Mg4Te, relaxed
# - E above lowest polymorph: 0.34 eV per formula unit
# - Energy relative to the elements, uncorrected: 56 meV/atom
# - Mass density: 2.5 Mg/m³
data_Mg4Te
_chemical_formula_sum 'Mg4 Te1'
_space_group_name_H-M_alt 'P 1'
_space_group_IT_number 1
_space_group_name_Hall 'P 1'
_cell_length_a 3.8526
_cell_length_b 3.8526
_cell_length_c 11.7672
_cell_angle_alpha 90.00
_cell_angle_beta 90.00
_cell_angle_gamma 120.00
loop_
_atom_site_label
_atom_site_fract_x
_atom_site_fract_y
_atom_site_fract_z
Mg1 0.3333 0.6667 0.1524
Mg2 0.3333 0.6667 0.4017
Mg3 0.6667 0.3333 0.5983
Mg4 0.6667 0.3333 0.8476
Te1 0.0000 0.0000 0.0000

# GGA-PBEsol CaScAsAu2, relaxed
# - Mass density: 7.5 Mg/m³
# - Formation enthalpy at 0 K: 0.129 eV/atom
data_CaScAsAu2
_chemical_formula_sum 'Ca1 Sc1 As1 Au2'
_space_group_name_H-M_alt 'P 1'
_space_group_IT_number 1
_space_group_name_Hall 'P 1'
_cell_length_a 4.8746
_cell_length_b 4.8746
_cell_length_c 5.1355
_cell_angle_alpha 90.00
_cell_angle_beta 90.00
_cell_angle_gamma 90.00
loop_
_atom_site_label
_atom_site_fract_x
_atom_site_fract_y
_atom_site_fract_z
Ca1 0.0000 0.0000 0.0000
Sc1 0.5000 0.5000 0.0000
As1 0.0000 0.0000 0.5000
Au1 0.0000 0.5000 0.5000
Au2 0.5000 0.0000 0.5000

# GGA-PBEsol KCr2Cl, relaxed
# - E above lowest polymorph: 1.42 eV per formula unit
# - Energy relative to the elements, uncorrected: 850 meV/atom
# - Mass density: 3.0 Mg/m³
data_KCr2Cl
_chemical_formula_sum 'K2 Cr4 Cl2'
_space_group_name_H-M_alt 'P 1'
_space_group_IT_number 1
_space_group_name_Hall 'P 1'
_cell_length_a 3.3601
_cell_length_b 5.8081
_cell_length_c 9.9876
_cell_angle_alpha 90.00
_cell_angle_beta 90.00
_cell_angle_gamma 90.00
loop_
_atom_site_label
_atom_site_fract_x
_atom_site_fract_y
_atom_site_fract_z
K1 0.0000 0.0000 0.0000
K2 0.5000 0.5000 0.0000
Cr1 0.0000 0.5000 0.3049
Cr2 0.0000 0.5000 0.6951
Cr3 0.5000 0.0000 0.3049
Cr4 0.5000 0.0000 0.6951
Cl1 0.0000 0.0000 0.5000
Cl2 0.5000 0.5000 0.5000

Number 1: size of the total moment 0.0 μB per formula unit. Number 2: size of the total moment 0.0 μB per formula unit. Number 3: size of the total moment 0.0 μB per formula unit. Number 4: size of the total moment 1.6 μB per formula unit. Number 5: size of the total moment 0.0 μB per formula unit. Number 6: size of the total moment 0.0 μB per formula unit. Number 7: size of the total moment 0.0 μB per formula unit. Number 8: size of the total moment 9.5 μB per formula unit.